Record 1
TbPr12Er3 after structural relaxation, computed with GGA-PBE.

Values from the calculation:
The calculated formation energy is 12 meV per atom. The calculation puts the density of states at the Fermi level at 23.803 states/eV per cell. The magnetization is 0.0 μB/f.u.

abc: 5.185 5.185 20.679
angles: 90.00 90.00 90.00
Space group P4/mmm (No. 123)
Inequivalent atoms, fractional coordinates:
1 Tb 0.000 0.000 0.000
2 Pr 0.000 0.500 0.126
3 Pr 0.000 0.500 0.375
4 Pr 0.500 0.500 0.000
5 Pr 0.500 0.500 0.251
6 Pr 0.500 0.500 0.500
7 Er 0.000 0.000 0.251
8 Er 0.000 0.000 0.500

***

Record 2
Tb3PrEr5 after structural relaxation, computed with GGA-PBE.

Values from the calculation:
The offset from the most stable computed form comes out at 0.70 eV per formula unit. The calculated formation energy is 414 meV per atom. The calculation puts the density of states at the Fermi level at 54.764 states/eV per cell. The magnetization is 0.0 μB/f.u.

abc: 16.788 7.953 12.212
angles: 90.00 130.71 90.00
Space group C2/m (No. 12)
Inequivalent atoms, fractional coordinates:
1 Tb 0.000 0.000 0.000
2 Tb 0.000 0.500 0.500
3 Tb 0.119 0.000 0.813
4 Tb 0.174 0.500 0.842
5 Pr 0.237 0.500 0.632
6 Er 0.000 0.179 0.500
7 Er 0.065 0.295 0.281
8 Er 0.122 0.500 0.066
9 Er 0.201 0.000 0.571

***

Record 3
TbPr8Er6 after structural relaxation, computed with GGA-PBE.

Values from the calculation:
The calculated formation energy is 176 meV per atom. The calculation puts the density of states at the Fermi level at 23.432 states/eV per cell. The magnetization is 0.0 μB/f.u.

abc: 9.4682 9.4682 6.5837
angles: 90.00 90.00 120.00
Space group P-3 (No. 147)
Inequivalent atoms, fractional coordinates:
1 Tb 0.0000 0.0000 0.0000
2 Pr 0.0398 0.7510 0.6693
3 Pr 0.3333 0.6667 0.6215
4 Er 0.0964 0.6570 0.1574

***

Record 4
Tb2PrEr9 after structural relaxation, computed with GGA-PBE.

Values from the calculation:
The offset from the most stable computed form comes out at 0.00 eV per formula unit. The calculated formation energy is 24 meV per atom. The calculation puts the density of states at the Fermi level at 16.724 states/eV per cell. The magnetization is 0.0 μB/f.u.

abc: 4.995 4.995 14.982
angles: 90.00 90.00 90.00
Space group P4/mmm (No. 123)
Inequivalent atoms, fractional coordinates:
1 Tb 0.000 0.000 0.166
2 Pr 0.000 0.000 0.500
3 Er 0.000 0.500 0.000
4 Er 0.000 0.500 0.331
5 Er 0.500 0.500 0.165
6 Er 0.500 0.500 0.500

***

Record 5
TbPr4Er8 after structural relaxation, computed with GGA-PBE.

Values from the calculation:
The calculated formation energy is 527 meV per atom. The calculation puts the density of states at the Fermi level at 67.872 states/eV per cell. The magnetization is 2.4 μB/f.u.

abc: 11.0521 11.0521 13.4738
angles: 90.00 90.00 120.00
Space group R-3m (No. 166, hexagonal axes)
Inequivalent atoms, fractional coordinates:
1 Tb 0.0000 0.0000 0.0000
2 Pr 0.0000 0.0000 0.5000
3 Pr 0.0000 0.5000 0.5000
4 Er 0.0000 0.0000 0.2599
5 Er 0.0127 0.5063 0.2457

***

Record 6
Tb4PrEr7 after structural relaxation, computed with GGA-PBE.

Values from the calculation:
The offset from the most stable computed form comes out at 3.27 eV per formula unit. The calculated formation energy is 274 meV per atom. The calculation puts the density of states at the Fermi level at 40.635 states/eV per cell. The magnetization is 0.0 μB/f.u.

abc: 12.071 5.847 12.582
angles: 90.00 118.03 90.00
Space group C2/m (No. 12)
Inequivalent atoms, fractional coordinates:
1 Tb 0.133 0.000 0.275
2 Tb 0.244 0.500 0.180
3 Pr 0.000 0.500 0.500
4 Er 0.000 0.000 0.500
5 Er 0.061 0.500 0.828
6 Er 0.134 0.000 0.002
7 Er 0.211 0.500 0.423

***

Record 7
Tb5PrEr7 after structural relaxation, computed with GGA-PBE.

Values from the calculation:
The offset from the most stable computed form comes out at 0.05 eV per formula unit. The calculated formation energy is 252 meV per atom. The calculation puts the density of states at the Fermi level at 48.385 states/eV per cell. The magnetization is 0.0 μB/f.u.

abc: 6.653 11.089 11.530
angles: 90.00 90.00 90.00
Space group Imm2 (No. 44)
Inequivalent atoms, fractional coordinates:
1 Tb 0.000 0.000 0.000
2 Tb 0.234 0.270 0.504
3 Pr 0.000 0.500 0.706
4 Er 0.000 0.000 0.506
5 Er 0.000 0.168 0.255
6 Er 0.000 0.168 0.753
7 Er 0.000 0.500 0.009
8 Er 0.000 0.500 0.313

***

Record 8
TbPr5Er3 after structural relaxation, computed with GGA-PBE.

Values from the calculation:
The offset from the most stable computed form comes out at 0.33 eV per formula unit. The calculated formation energy is 309 meV per atom. The calculation puts the density of states at the Fermi level at 54.578 states/eV per cell. The magnetization is 0.0 μB/f.u.

abc: 9.353 9.353 14.369
angles: 90.00 90.00 90.00
Space group I4/mcm (No. 140)
Inequivalent atoms, fractional coordinates:
1 Tb 0.000 0.500 0.250
2 Pr 0.000 0.000 0.000
3 Pr 0.201 0.299 0.133
4 Er 0.000 0.000 0.250
5 Er 0.110 0.390 0.500

***

The highest calculated formation energy belongs to which entry? TbPr4Er8

***

Which value of density of states at the Fermi level does entry 8 give? 54.578 states/eV per cell

***

Which of these has the highest magnetization? TbPr4Er8